# TmScZnCd, optimized geometry, DFT PBE
data_TmScZnCd
_chemical_formula_sum 'Tm4 Sc4 Zn4 Cd4'
_cell_length_a 7.0694
_cell_length_b 7.0694
_cell_length_c 7.0694
_cell_angle_alpha 90.00
_cell_angle_beta 90.00
_cell_angle_gamma 90.00
_space_group_name_H-M_alt 'F -4 3 m'
_space_group_IT_number 216
_space_group_name_Hall 'F -4 2 3'
loop_
_atom_site_label
_atom_site_type_symbol
_atom_site_fract_x
_atom_site_fract_y
_atom_site_fract_z
Tm1 Tm 0.0000 0.0000 0.0000
Sc1 Sc 0.0000 0.0000 0.5000
Zn1 Zn 0.2500 0.2500 0.7500
Cd1 Cd 0.2500 0.2500 0.2500
# **Energy relative to the elements**: -0.305 eV/atom
# **N(E_F)**: 3.2 states/eV/f.u.
# **Total magnetic moment**: 0.000 μB per formula unit
# **Excess energy over the best structure of this formula in the dataset**: 24.7 meV per atom
# **E_tot**: -3.55 eV per atom
# **Calculated volume**: 22.08 Å³ per atom